## K4CeSm3O8 (PBE)

Data for a geometry-optimized K4CeSm3O8 structure.

It has space group R-3m (No. 166, hexagonal axes), with a = 7.2065 Å, b = 7.2065 Å, c = 18.8716 Å, α = 90.00°, β = 90.00° and γ = 120.00°. The asymmetric unit holds K at (0.0000, 0.0000, 0.0000), K at (0.0000, 0.5000, 0.0000), Ce at (0.0000, 0.0000, 0.5000), Sm at (0.0000, 0.5000, 0.5000), O at (0.0000, 0.0000, 0.2297) and O at (0.0018, 0.5009, 0.7703).

Its uncorrected formation energy is -2.64 eV per atom. The value obtained for the total moment is 2.951 μB/cell. The calculation puts the total energy at -6.654 eV per atom.